{
  "formula": "WN2F2",
  "functional": "PBE with a Hubbard U",
  "state": "relaxed",
  "space_group": "No. 123",
  "total_energy_ev_per_atom": -4.0781,
  "lattice_angstrom": [[3.5779, 0.0000, 0.0000], [0.0000, 3.5779, 0.0000], [0.0000, 0.0000, 3.9982]],
  "species": ["W", "N", "N", "F", "F"],
  "fractional_positions": [[0.0000, 0.0000, 0.0000], [0.0000, 0.5000, 0.5000], [0.5000, 0.0000, 0.5000], [0.5000, 0.5000, 0.0000], [0.5000, 0.5000, 0.5000]]
}